The following is a GGA-PBE calculation of a geometry-optimized Ti4InC structure, from Alexandria via LeMat-Bulk.

## Properties
energy of formation: -0.37 eV/atom
size of the total moment: 0.000 μB/atom
electronic total energy: -91.54 eV/cell
E above lowest polymorph: 0 meV per atom
symmetry: Cmcm, No. 63

Lattice parameters (Å, degrees): 4.423 5.940 7.547 90.00 107.04 90.00
Fractional coordinates of all 12 atoms:
1 Ti 0.797 0.003 0.594
2 Ti 0.797 0.497 0.594
3 Ti 0.203 0.997 0.406
4 Ti 0.609 0.750 0.218
5 Ti 0.391 0.250 0.782
6 Ti 0.000 0.000 0.000
7 Ti 0.203 0.503 0.406
8 Ti 0.000 0.500 0.000
9 In 0.606 0.250 0.213
10 In 0.394 0.750 0.787
11 C 0.899 0.250 0.798
12 C 0.101 0.750 0.202

The following is a GGA-PBE calculation of a geometry-optimized Ti4InC2 structure, from Alexandria via LeMat-Bulk.

## Properties
energy of formation: -0.62 eV/atom
size of the total moment: 0.000 μB/atom
electronic total energy: -57.10 eV/cell
symmetry: R-3m, No. 166

Lattice parameters (Å, degrees): 3.111 3.111 12.173 82.66 82.66 60.00
Fractional coordinates of all 7 atoms:
1 C 0.568 0.568 0.297
2 C 0.432 0.432 0.703
3 Ti 0.869 0.869 0.394
4 Ti 0.131 0.131 0.606
5 Ti 0.735 0.735 0.795
6 Ti 0.265 0.265 0.205
7 In 0.000 0.000 0.000

The following is a GGA-PBE calculation of a geometry-optimized TiIn2C structure, from Alexandria via LeMat-Bulk.

## Properties
energy of formation: 0.58 eV/atom
size of the total moment: 0.000 μB/atom
electronic total energy: -40.57 eV/cell
symmetry: I-42d, No. 122

Lattice parameters (Å, degrees): 8.534 8.534 6.398 48.17 48.17 90.00
Fractional coordinates of all 8 atoms:
1 C 0.250 0.750 0.500
2 C 0.500 0.500 0.000
3 In 0.375 0.495 0.750
4 In 0.245 0.625 0.250
5 In 0.875 0.755 0.750
6 In 0.505 0.125 0.250
7 Ti 0.750 0.250 0.500
8 Ti 0.000 0.000 0.000

The following is a GGA-PBE calculation of a geometry-optimized Ti4InC structure, from Alexandria via LeMat-Bulk.

## Properties
energy of formation: 0.20 eV/atom
size of the total moment: 0.075 μB/atom
electronic total energy: -42.33 eV/cell
E above lowest polymorph: 573 meV per atom
symmetry: P4/mmm, No. 123

Lattice parameters (Å, degrees): 4.094 4.094 6.341 90.00 90.00 90.00
Last column: magnetic moment on the atom in μB.
Fractional coordinates of all 6 atoms:
1 C 0.500 0.500 0.500  -0.01
2 In 0.000 0.000 0.000  0.00
3 Ti 0.500 0.000 0.500  0.14
4 Ti 0.000 0.500 0.500  0.14
5 Ti 0.500 0.500 0.834  0.03
6 Ti 0.500 0.500 0.166  0.03

The following is a GGA-PBE calculation of a geometry-optimized Ti8InC2 structure, from Alexandria via LeMat-Bulk.

## Properties
energy of formation: -0.23 eV/atom
size of the total moment: 0.000 μB/atom
electronic total energy: -86.92 eV/cell
symmetry: C2/m, No. 12

Lattice parameters (Å, degrees): 4.377 6.456 6.456 114.39 95.82 95.82
Fractional coordinates of all 11 atoms:
1 Ti 0.500 0.262 0.738
2 Ti 0.060 0.341 0.074
3 Ti 0.500 0.738 0.262
4 Ti 0.709 0.422 0.422
5 Ti 0.060 0.074 0.341
6 Ti 0.291 0.578 0.578
7 Ti 0.940 0.926 0.659
8 Ti 0.940 0.659 0.926
9 In 0.500 0.000 0.000
10 C 0.000 0.696 0.304
11 C 0.000 0.304 0.696

The following is a GGA-PBE calculation of a geometry-optimized Ti2InC structure, from Alexandria via LeMat-Bulk.

## Properties
energy of formation: -0.67 eV/atom
size of the total moment: 0.000 μB/atom
electronic total energy: -60.88 eV/cell
E above lowest polymorph: 0 meV per atom
symmetry: P6_3/mmc, No. 194

Lattice parameters (Å, degrees): 3.146 3.146 14.216 90.00 90.00 120.00
Fractional coordinates of all 8 atoms:
1 Ti 0.667 0.333 0.922
2 Ti 0.667 0.333 0.578
3 Ti 0.333 0.667 0.078
4 Ti 0.333 0.667 0.422
5 In 0.667 0.333 0.250
6 In 0.333 0.667 0.750
7 C 0.000 0.000 0.000
8 C 0.000 0.000 0.500